Below is a relaxed Tb3PrHo2 crystal, with properties calculated at the PBE-GGA level.

Values from the calculation:
Energy relative to the elements (meV/atom): 227
N(E_F) (states/eV/f.u.): 9.1
Energy (eV per atom): -4.410
Calculated volume (Å³ per cell): 398
Polymorph energy (0 for the lowest one) (eV per atom): 0.2301
Total moment (μB per cell): 0.00

Geometry as extended XYZ:
```
12
Lattice="-1.614 -0.388 -6.127 4.634 -6.632 -0.801 -4.544 -6.546 1.612" Properties=species:S:1:pos:R:3 pbc="T T T"
Ho 1.598 -5.842 -0.502
Ho 0.802 -7.615 -3.469
Ho -2.537 -7.584 -2.591
Ho -1.741 -5.810 0.375
Tb -1.788 -9.169 0.323
Tb -2.630 -4.258 -3.055
Tb -1.306 -1.377 -4.919
Tb 0.713 -4.289 -3.934
Tb -0.424 -12.239 -1.176
Tb 1.555 -9.201 -0.556
Pr -1.195 -11.146 -4.149
Pr -0.446 -2.448 -1.608
```